BaMgIn2 after structural relaxation. Source: Alexandria via LeMat-Bulk, functional PBEsol.

Unit cell a=3.857 b=3.857 c=8.015 alpha=90.00 beta=90.00 gamma=90.00
Space group P4mm (No. 99)
Asymmetric unit:
Ba  0.000  0.000  0.000 [1 per cell]
Mg  0.500  0.500  0.682 [1 per cell]
In  0.000  0.000  0.500 [1 per cell]
In  0.500  0.500  0.291 [1 per cell]

Calculated values
Calculated total energy, Ry per atom: -0.196
Energy of formation, eV/atom: -0.205
Magnetization, μB/f.u.: 0.000